A plane-wave DFT calculation with PBE was carried out for a relaxed structure of Dy2LuCd.

It has space group R-3m (No. 166, hexagonal axes), with a = 3.4346 Å, b = 3.4346 Å, c = 36.0081 Å, α = 90.00°, β = 90.00° and γ = 120.00°. The distinct sites, in fractional coordinates, are Dy at (0.0000, 0.0000, 0.0894), Lu at (0.0000, 0.0000, 0.5000) and Cd at (0.0000, 0.0000, 0.0000).

For the energy above the most stable polymorph in this dataset, the calculation gives 0.289 eV per atom.

=====

A plane-wave DFT calculation with PBE was carried out for a relaxed structure of Dy2LuCd.

It has space group P4/mmm (No. 123), with a = 3.5592 Å, b = 3.5592 Å, c = 9.0188 Å, α = 90.00°, β = 90.00° and γ = 90.00°. The distinct sites, in fractional coordinates, are Dy at (0.0000, 0.0000, 0.2317), Lu at (0.5000, 0.5000, 0.5000) and Cd at (0.5000, 0.5000, 0.0000).

For the energy above the most stable polymorph in this dataset, the calculation gives 0.000 eV per atom.

=====

A plane-wave DFT calculation with PBE was carried out for a relaxed structure of Dy2LuCd.

It has space group Fm-3m (No. 225), with a = 7.6405 Å, b = 7.6405 Å, c = 7.6405 Å, α = 90.00°, β = 90.00° and γ = 90.00°. The distinct sites, in fractional coordinates, are Dy at (0.2500, 0.2500, 0.2500), Lu at (0.0000, 0.0000, 0.0000) and Cd at (0.0000, 0.0000, 0.5000).

For the energy above the most stable polymorph in this dataset, the calculation gives 0.099 eV per atom.

=====

A plane-wave DFT calculation with PBE was carried out for a relaxed structure of DyLu2Cd.

It has space group P4/mmm (No. 123), with a = 3.5171 Å, b = 3.5171 Å, c = 8.9702 Å, α = 90.00°, β = 90.00° and γ = 90.00°. The distinct sites, in fractional coordinates, are Dy at (0.0000, 0.0000, 0.0000), Lu at (0.5000, 0.5000, 0.2727) and Cd at (0.0000, 0.0000, 0.5000).

For the energy above the most stable polymorph in this dataset, the calculation gives 0.000 eV per atom.

=====

A plane-wave DFT calculation with PBE was carried out for a relaxed structure of DyLuCd.

It has space group I4mm (No. 107), with a = 3.5469 Å, b = 3.5469 Å, c = 13.0534 Å, α = 90.00°, β = 90.00° and γ = 90.00°. The distinct sites, in fractional coordinates, are Dy at (0.0000, 0.0000, 0.0000), Lu at (0.0000, 0.0000, 0.6855) and Cd at (0.0000, 0.0000, 0.3386).

For the energy above the most stable polymorph in this dataset, the calculation gives 0.000 eV per atom.

=====

A plane-wave DFT calculation with PBE was carried out for a relaxed structure of DyLuCd.

It has space group P3m1 (No. 156), with a = 5.2130 Å, b = 5.2130 Å, c = 3.4998 Å, α = 90.00°, β = 90.00° and γ = 120.00°. The distinct sites, in fractional coordinates, are Dy at (0.0000, 0.0000, 0.0000), Lu at (0.3333, 0.6667, 0.4495) and Cd at (0.6667, 0.3333, 0.6742).

For the energy above the most stable polymorph in this dataset, the calculation gives 0.115 eV per atom.

=====

A plane-wave DFT calculation with PBE was carried out for a relaxed structure of Dy2LuCd.

It has space group P4/mmm (No. 123), with a = 5.3401 Å, b = 5.3401 Å, c = 3.9398 Å, α = 90.00°, β = 90.00° and γ = 90.00°. The distinct sites, in fractional coordinates, are Dy at (0.0000, 0.5000, 0.0000), Lu at (0.0000, 0.0000, 0.5000) and Cd at (0.5000, 0.5000, 0.5000).

For the energy above the most stable polymorph in this dataset, the calculation gives 0.072 eV per atom.

=====

A plane-wave DFT calculation with PBE was carried out for a relaxed structure of DyLu2Cd.

It has space group P4/mmm (No. 123), with a = 4.7859 Å, b = 4.7859 Å, c = 4.7803 Å, α = 90.00°, β = 90.00° and γ = 90.00°. The distinct sites, in fractional coordinates, are Dy at (0.0000, 0.0000, 0.0000), Lu at (0.0000, 0.5000, 0.5000) and Cd at (0.5000, 0.5000, 0.0000).

For the energy above the most stable polymorph in this dataset, the calculation gives 0.061 eV per atom.

=====

A plane-wave DFT calculation with PBE was carried out for a relaxed structure of DyLuMgCd.

It has space group F-43m (No. 216), with a = 7.4535 Å, b = 7.4535 Å, c = 7.4535 Å, α = 90.00°, β = 90.00° and γ = 90.00°. The distinct sites, in fractional coordinates, are Dy at (0.0000, 0.0000, 0.0000), Lu at (0.0000, 0.0000, 0.5000), Mg at (0.2500, 0.2500, 0.7500) and Cd at (0.2500, 0.2500, 0.2500).

=====

A plane-wave DFT calculation with PBE was carried out for a relaxed structure of DyLuMnCd.

It has space group F-43m (No. 216), with a = 7.2256 Å, b = 7.2256 Å, c = 7.2256 Å, α = 90.00°, β = 90.00° and γ = 90.00°. The distinct sites, in fractional coordinates, are Dy at (0.0000, 0.0000, 0.0000), Lu at (0.0000, 0.0000, 0.5000), Mn at (0.2500, 0.2500, 0.7500) and Cd at (0.2500, 0.2500, 0.2500).

=====

A plane-wave DFT calculation with PBE was carried out for a relaxed structure of DyLuCdOs.

It has space group F-43m (No. 216), with a = 7.0194 Å, b = 7.0194 Å, c = 7.0194 Å, α = 90.00°, β = 90.00° and γ = 90.00°. The distinct sites, in fractional coordinates, are Dy at (0.0000, 0.0000, 0.0000), Lu at (0.0000, 0.0000, 0.5000), Cd at (0.2500, 0.2500, 0.7500) and Os at (0.2500, 0.2500, 0.2500).

=====

A plane-wave DFT calculation with PBE was carried out for a relaxed structure of DyLuCdPd.

It has space group F-43m (No. 216), with a = 7.1748 Å, b = 7.1748 Å, c = 7.1748 Å, α = 90.00°, β = 90.00° and γ = 90.00°. The distinct sites, in fractional coordinates, are Dy at (0.0000, 0.0000, 0.0000), Lu at (0.0000, 0.0000, 0.5000), Cd at (0.2500, 0.2500, 0.2500) and Pd at (0.2500, 0.2500, 0.7500).

=====

| no. | calculated formation energy (eV per atom) | total moment (μB per atom) |
| --- | --- | --- |
| 1 | 0.153 | 0.000 |
| 2 | -0.136 | 0.000 |
| 3 | -0.037 | 0.000 |
| 4 | -0.145 | 0.000 |
| 5 | -0.185 | 0.327 |
| 6 | -0.070 | 0.000 |
| 7 | -0.064 | 0.000 |
| 8 | -0.084 | 0.005 |
| 9 | -0.187 | 0.001 |
| 10 | -0.013 | 0.776 |
| 11 | -0.245 | 0.000 |
| 12 | -0.566 | 0.000 |